No. 1
Computed, not measured: a geometry-optimized TbPrNd2Dy4 structure at the PBE-GGA level of DFT.

Cell and atoms, written as CIF:
```
data_TbPrNd2Dy4
_symmetry_space_group_name_H-M 'P -1'
_symmetry_Int_Tables_number 2
_cell_length_a 7.220
_cell_length_b 7.226
_cell_length_c 10.107
_cell_angle_alpha 89.93
_cell_angle_beta 90.00
_cell_angle_gamma 89.93
loop_
_symmetry_equiv_pos_as_xyz
'x,y,z'
'-x,-y,-z'
loop_
_atom_site_label
_atom_site_fract_x
_atom_site_fract_y
_atom_site_fract_z
Tb1 0.000 0.000 0.000
Tb2 0.000 0.500 0.000
Pr1 0.000 0.000 0.500
Pr2 0.500 0.000 0.000
Nd1 0.000 0.500 0.500
Nd2 0.500 0.000 0.500
Nd3 0.500 0.500 0.000
Nd4 0.500 0.500 0.500
Dy1 0.248 0.250 0.752
Dy2 0.248 0.251 0.248
Dy3 0.248 0.749 0.752
Dy4 0.248 0.750 0.248
```

Results
Mass density, kg/m³: 7799
ΔE_f, eV per formula unit: 0.12

No. 2
Computed, not measured: a geometry-optimized Rb3PuRh2Se6 structure at the PBE-GGA level of DFT.

Cell and atoms, written as CIF:
```
data_Rb3PuRh2Se6
_symmetry_space_group_name_H-M 'C 1 2/m 1'
_symmetry_Int_Tables_number 12
_cell_length_a 6.829
_cell_length_b 11.826
_cell_length_c 8.266
_cell_angle_alpha 90.00
_cell_angle_beta 106.22
_cell_angle_gamma 90.00
loop_
_symmetry_equiv_pos_as_xyz
'x,y,z'
'-x,-y,-z'
'-x,y,-z'
'x,-y,z'
'x+1/2,y+1/2,z'
'-x+1/2,-y+1/2,-z'
'-x+1/2,y+1/2,-z'
'x+1/2,-y+1/2,z'
loop_
_atom_site_label
_atom_site_fract_x
_atom_site_fract_y
_atom_site_fract_z
Rb1 0.000 0.000 0.000
Rb2 0.000 0.341 0.000
Pu1 0.000 0.500 0.500
Rh1 0.000 0.167 0.500
Se1 0.194 0.000 0.676
Se2 0.243 0.317 0.679
```

Results
Mass density, kg/m³: 6114
Energy relative to the elements, uncorrected, eV/atom: -0.87